Model 1:
Rb2Fe2Cu: relaxed, PBE.

Lattice parameters (Å, degrees): 10.1422 10.1422 3.0572 90.00 90.00 90.00
With the nearest neighbours (Å) after each atom.
Sites, in units of the cell vectors:
Rb 0.2099 0.2901 0.0000  2 Rb 3.06
Rb 0.2901 0.7901 0.0000  2 Rb 3.06
Rb 0.7099 0.2099 0.0000  2 Rb 3.06
Rb 0.7901 0.7099 0.0000  2 Rb 3.06
Fe 0.0722 0.5722 0.5000  1 Fe 2.07
Fe 0.4278 0.0722 0.5000  1 Fe 2.07
Fe 0.5722 0.9278 0.5000  1 Fe 2.07
Fe 0.9278 0.4278 0.5000  1 Fe 2.07
Cu 0.0000 0.0000 0.5000  2 Cu 3.06
Cu 0.5000 0.5000 0.5000  2 Cu 3.06

For the calculated volume, the calculation gives 31.4 Å³/atom. The value obtained for the density is 3.66 g cm⁻³. As for the total magnetic moment: 11.713 Bohr magnetons per cell.

=====

Model 2:
Rb2Fe2Cu: relaxed, PBE.

Lattice parameters (Å, degrees): 5.9597 5.9597 5.9597 110.77 110.77 106.90
With the nearest neighbours (Å) after each atom.
Sites, in units of the cell vectors:
Rb 0.2500 0.7500 0.5000  4 Fe 3.46, 2 Rb 3.55, 4 Cu 3.82
Rb 0.7500 0.2500 0.5000  4 Fe 3.46, 2 Rb 3.55, 4 Cu 3.82
Fe 0.1481 0.1481 0.0000  1 Fe 2.10
Fe 0.8519 0.8519 0.0000  1 Fe 2.10
Cu 0.5000 0.5000 0.0000  2 Fe 2.50

For the calculated volume, the calculation gives 32.5 Å³/atom. The value obtained for the density is 3.53 g cm⁻³. As for the total magnetic moment: 5.725 Bohr magnetons per cell.

=====

Q: What are the energies relative to the best structure? A: model 1 171; model 2 0, in meV/atom.

=====

Model 1:
RbFeCu3: relaxed, PBE.

Lattice parameters (Å, degrees): 5.1267 5.1267 5.1267 90.00 90.00 90.00
With the nearest neighbours (Å) after each atom.
Sites, in units of the cell vectors:
Rb 0.0000 0.0000 0.0000  6 Cu 2.56
Fe 0.5000 0.5000 0.5000  12 Cu 3.63
Cu 0.0000 0.0000 0.5000  2 Rb 2.56
Cu 0.0000 0.5000 0.0000  2 Rb 2.56
Cu 0.5000 0.0000 0.0000  2 Rb 2.56

For the calculated volume, the calculation gives 26.9 Å³/atom. The value obtained for the density is 4.09 g cm⁻³. As for the total magnetic moment: 3.137 Bohr magnetons per cell.

=====

Model 2:
RbFeCu3: relaxed, PBE.

Lattice parameters (Å, degrees): 4.7832 4.7832 4.7832 90.00 90.00 90.00
With the nearest neighbours (Å) after each atom.
Sites, in units of the cell vectors:
Rb 0.0000 0.0000 0.0000  12 Cu 3.38
Fe 0.5000 0.5000 0.5000  6 Cu 2.39
Cu 0.0000 0.5000 0.5000  2 Fe 2.39
Cu 0.5000 0.0000 0.5000  2 Fe 2.39
Cu 0.5000 0.5000 0.0000  2 Fe 2.39

For the calculated volume, the calculation gives 21.9 Å³/atom. The value obtained for the density is 5.04 g cm⁻³. As for the total magnetic moment: 3.111 Bohr magnetons per cell.

=====

Q: What are the energies relative to the best structure? A: model 1 1450; model 2 0, in meV/atom.

=====

Model 1:
FeCuRe2: relaxed, PBE.

Lattice parameters (Å, degrees): 2.6494 4.2699 4.6102 90.00 90.00 90.00
With the nearest neighbours (Å) after each atom.
Sites, in units of the cell vectors:
Fe 0.0000 0.0000 0.0000  2 Cu 2.57, 8 Re 2.61-2.70, 2 Fe 2.65
Cu 0.0000 0.5000 0.3117  2 Fe 2.57, 8 Re 2.62-2.70, 2 Cu 2.65
Re 0.5000 0.0000 0.4886  4 Fe 2.61-2.70, 4 Re 2.63-2.65, 4 Cu 2.64
Re 0.5000 0.5000 0.8217  4 Cu 2.62-2.70, 4 Re 2.63-2.65, 4 Fe 2.64

For the calculated volume, the calculation gives 13.0 Å³/atom. The value obtained for the density is 15.66 g cm⁻³. As for the total magnetic moment: 0.000 Bohr magnetons per cell.

=====

Model 2:
FeCuRe2: relaxed, PBE.

Lattice parameters (Å, degrees): 4.6843 4.6843 2.6012 90.00 90.00 111.04
With the nearest neighbours (Å) after each atom.
Sites, in units of the cell vectors:
Fe 0.0000 0.0000 0.0000  2 Fe 2.60, 2 Cu 2.65, 8 Re 2.68
Cu 0.5000 0.5000 0.0000  2 Cu 2.60, 2 Fe 2.65, 8 Re 2.68
Re 0.0000 0.5000 0.5000  4 Re 2.60-2.65, 4 Fe 2.68, 4 Cu 2.68
Re 0.5000 0.0000 0.5000  4 Re 2.60-2.65, 4 Fe 2.68, 4 Cu 2.68

For the calculated volume, the calculation gives 13.3 Å³/atom. The value obtained for the density is 15.33 g cm⁻³. As for the total magnetic moment: 1.589 Bohr magnetons per cell.

=====

Q: What are the energies relative to the best structure? A: model 1 0; model 2 108, in meV/atom.

=====

Model 1:
FeCuRe2: relaxed, PBE.

Lattice parameters (Å, degrees): 4.6123 4.6123 4.6123 131.67 131.67 70.75
With the nearest neighbours (Å) after each atom.
Sites, in units of the cell vectors:
Fe 0.0000 0.0000 0.0000  8 Re 2.66-2.67, 4 Cu 2.66
Cu 0.2500 0.7500 0.5000  8 Re 2.66-2.67, 4 Fe 2.66
Re 0.5000 0.5000 0.0000  4 Re 2.66, 4 Cu 2.66, 4 Fe 2.67
Re 0.7500 0.2500 0.5000  4 Re 2.66, 4 Fe 2.66, 4 Cu 2.67

For the calculated volume, the calculation gives 13.4 Å³/atom. The value obtained for the density is 15.23 g cm⁻³. As for the total magnetic moment: 2.247 Bohr magnetons per cell.

=====

Model 2:
FeCuRe2: relaxed, PBE.

Lattice parameters (Å, degrees): 3.1123 3.1123 5.5639 90.00 90.00 90.00
With the nearest neighbours (Å) after each atom.
Sites, in units of the cell vectors:
Fe 0.0000 0.0000 0.0000  4 Cu 2.48, 5 Re 2.61-2.66
Cu 0.5000 0.5000 0.7930  4 Fe 2.48, 5 Re 2.64-2.65
Re 0.0000 0.0000 0.5311  1 Fe 2.61, 4 Re 2.64, 4 Cu 2.64
Re 0.5000 0.5000 0.2701  4 Re 2.64, 2 Cu 2.65-2.91, 4 Fe 2.66

For the calculated volume, the calculation gives 13.5 Å³/atom. The value obtained for the density is 15.15 g cm⁻³. As for the total magnetic moment: 2.263 Bohr magnetons per cell.

=====

Model 3:
FeCuRe2: relaxed, PBE.

Lattice parameters (Å, degrees): 2.6350 2.6350 8.5099 90.00 90.00 110.08
With the nearest neighbours (Å) after each atom.
Sites, in units of the cell vectors:
Fe 0.0000 0.0000 0.0000  2 Cu 2.52, 2 Re 2.56, 4 Fe 2.63
Cu 0.5000 0.5000 0.2365  2 Fe 2.52, 4 Cu 2.63, 2 Re 2.66
Re 0.0000 0.0000 0.4942  6 Re 2.63-2.70, 2 Cu 2.66
Re 0.5000 0.5000 0.7569  2 Fe 2.56, 6 Re 2.63-2.70

For the calculated volume, the calculation gives 13.9 Å³/atom. The value obtained for the density is 14.72 g cm⁻³. As for the total magnetic moment: 2.557 Bohr magnetons per cell.

=====

Model 4:
FeCuRe2: relaxed, PBE.

Lattice parameters (Å, degrees): 4.2198 4.2198 4.2198 60.00 60.00 60.00
With the nearest neighbours (Å) after each atom.
Sites, in units of the cell vectors:
Fe 0.0000 0.0000 0.0000  8 Re 2.58
Cu 0.5000 0.5000 0.5000  8 Re 2.58
Re 0.2500 0.2500 0.2500  4 Cu 2.58, 4 Fe 2.58
Re 0.7500 0.7500 0.7500  4 Fe 2.58, 4 Cu 2.58

For the calculated volume, the calculation gives 13.3 Å³/atom. The value obtained for the density is 15.37 g cm⁻³. As for the total magnetic moment: 1.998 Bohr magnetons per cell.

=====

Q: What are the energies relative to the best structure? A: model 1 0; model 2 41; model 3 83; model 4 181, in meV/atom.

=====

Model 1:
FeCuRe2: relaxed, PBE.

Lattice parameters (Å, degrees): 2.5975 2.5975 8.5516 90.00 90.00 107.89
With the nearest neighbours (Å) after each atom.
Sites, in units of the cell vectors:
Fe 0.0000 0.0000 0.0000  4 Re 2.59, 4 Fe 2.60
Cu 0.0000 0.0000 0.5000  4 Cu 2.60, 4 Re 2.66
Re 0.5000 0.5000 0.2448  2 Fe 2.59, 4 Re 2.60, 2 Cu 2.66
Re 0.5000 0.5000 0.7552  2 Fe 2.59, 4 Re 2.60, 2 Cu 2.66

For the calculated volume, the calculation gives 13.7 Å³/atom. The value obtained for the density is 14.87 g cm⁻³. As for the total magnetic moment: 2.509 Bohr magnetons per cell.

=====

Model 2:
FeCuRe2: relaxed, PBE.

Lattice parameters (Å, degrees): 4.6594 4.6594 4.6594 132.84 132.84 68.91
With the nearest neighbours (Å) after each atom.
Sites, in units of the cell vectors:
Fe 0.0000 0.0000 0.0000  4 Cu 2.64, 8 Re 2.68
Cu 0.5000 0.5000 0.0000  4 Fe 2.64, 8 Re 2.68
Re 0.2500 0.7500 0.5000  4 Re 2.64, 4 Fe 2.68, 4 Cu 2.68
Re 0.7500 0.2500 0.5000  4 Re 2.64, 4 Fe 2.68, 4 Cu 2.68

For the calculated volume, the calculation gives 13.3 Å³/atom. The value obtained for the density is 15.30 g cm⁻³. As for the total magnetic moment: 1.970 Bohr magnetons per cell.

=====

Model 3:
FeCuRe2: relaxed, PBE.

Lattice parameters (Å, degrees): 5.4099 5.4099 5.4099 102.61 102.61 124.29
With the nearest neighbours (Å) after each atom.
Sites, in units of the cell vectors:
Fe 0.0000 0.0000 0.0000  4 Re 2.32, 2 Cu 2.53
Fe 0.7500 0.2500 0.5000  4 Re 2.32, 2 Cu 2.53
Cu 0.2500 0.7500 0.5000  2 Fe 2.53, 4 Re 2.64
Cu 0.5000 0.5000 0.0000  2 Fe 2.53, 4 Re 2.64
Re 0.0896 0.1250 0.4646  2 Fe 2.32, 2 Re 2.57
Re 0.3750 0.9104 0.0354  2 Fe 2.32, 2 Re 2.57
Re 0.6604 0.6250 0.5354  2 Fe 2.32, 2 Re 2.57
Re 0.8750 0.3396 0.9646  2 Fe 2.32, 2 Re 2.57

For the calculated volume, the calculation gives 14.5 Å³/atom. The value obtained for the density is 14.12 g cm⁻³. As for the total magnetic moment: 0.002 Bohr magnetons per cell.

=====

Model 4:
FeCuRe2: relaxed, PBE.

Lattice parameters (Å, degrees): 4.6286 4.6286 4.6434 100.47 100.47 33.81
With the nearest neighbours (Å) after each atom.
Sites, in units of the cell vectors:
Fe 0.0000 0.0000 0.0000  6 Re 2.61-2.73, 4 Cu 2.68, 2 Fe 2.69
Cu 0.5000 0.5000 0.5000  6 Re 2.65-2.71, 4 Fe 2.68, 2 Cu 2.69
Re 0.2563 0.2563 0.7550  3 Fe 2.61-2.73, 3 Cu 2.65-2.71, 6 Re 2.66-2.71
Re 0.7437 0.7437 0.2450  3 Fe 2.61-2.73, 3 Cu 2.65-2.71, 6 Re 2.66-2.71

For the calculated volume, the calculation gives 13.6 Å³/atom. The value obtained for the density is 15.03 g cm⁻³. As for the total magnetic moment: 1.896 Bohr magnetons per cell.

=====

Q: What are the energies relative to the best structure? A: model 1 36; model 2 18; model 3 599; model 4 0, in meV/atom.